1.
First-principles (PBE) data for crystalline CePrGaAg at its relaxed geometry, as listed in Alexandria via LeMat-Bulk.

abc: 5.2808 5.2808 5.2808
angles: 60.00 60.00 60.00
Positions (direct):
Pr  0.5000  0.5000  0.5000
Ag  0.2500  0.2500  0.2500
Ce  0.0000  0.0000  0.0000
Ga  0.7500  0.7500  0.7500

Results
As for the crystal system: cubic. The value obtained for the formation enthalpy at 0 K is -303 meV/atom. The total moment is 1.4 μB/f.u. The calculation puts the density of states at the Fermi level at 10.20 states/eV/f.u. As for the density: 7.31 g cm⁻³.

=====

2.
First-principles (PBE) data for crystalline RePCl2 at its relaxed geometry, as listed in Alexandria via LeMat-Bulk.

abc: 2.9016 5.1839 4.3881
angles: 90.00 90.00 90.00
Positions (direct):
Cl  0.0000  0.0000  0.0000
Cl  0.5000  0.5000  0.0000
Re  0.0000  0.5000  0.5000
P  0.5000  0.0000  0.5000

Results
As for the crystal system: orthorhombic. The total moment is 1.8 μB/f.u. Its formation energy without anion corrections is 1014 meV/atom. The calculation puts the density of states at the Fermi level at 3.44 states/eV/f.u. The value obtained for the energy above the most stable polymorph in this dataset is 1296 meV per atom. As for the density: 7.25 g cm⁻³.

=====

3.
First-principles (PBE) data for crystalline TbScC at its relaxed geometry, as listed in Alexandria via LeMat-Bulk.

abc: 6.0194 3.4568 3.4568
angles: 120.00 90.00 90.00
Positions (direct):
C  0.0166  0.0000  0.0000
Sc  0.2065  0.3333  0.6667
Tb  0.7769  0.6667  0.3333

Results
As for the crystal system: trigonal. The value obtained for the formation enthalpy at 0 K is -298 meV/atom. The total moment is 0.0 μB/f.u. The calculation puts the density of states at the Fermi level at 2.26 states/eV/f.u. The value obtained for the energy above the most stable polymorph in this dataset is 30 meV per atom. As for the density: 5.76 g cm⁻³.

=====

4.
First-principles (PBE) data for crystalline Be2NiB at its relaxed geometry, as listed in Alexandria via LeMat-Bulk.

abc: 3.2660 3.2660 3.9643
angles: 90.00 90.00 120.00
Positions (direct):
B  0.0000  0.0000  0.0000
Be  0.6667  0.3333  0.8449
Be  0.3333  0.6667  0.1551
Ni  0.0000  0.0000  0.5000

Results
As for the crystal system: trigonal. The value obtained for the formation enthalpy at 0 K is 57 meV/atom. The total moment is 0.0 μB/f.u. The calculation puts the density of states at the Fermi level at 1.25 states/eV/f.u. As for the density: 3.97 g cm⁻³.

=====

5.
First-principles (PBE) data for crystalline CoHCS at its relaxed geometry, as listed in Alexandria via LeMat-Bulk.

abc: 4.2276 2.8572 7.5990
angles: 90.00 114.96 90.00
Positions (direct):
Co  0.8967  0.5000  0.5426
Co  0.8967  0.0000  0.0426
S  0.3347  0.5000  0.4603
S  0.3347  0.0000  0.9603
H  0.7464  0.0000  0.7645
H  0.7464  0.5000  0.2645
C  0.9844  0.0000  0.7289
C  0.9844  0.5000  0.2289

Results
As for the crystal system: monoclinic. The total moment is 0.0 μB/f.u. The calculation puts the density of states at the Fermi level at 1.74 states/eV/f.u. The value obtained for the energy above the most stable polymorph in this dataset is 76 meV per atom. As for the density: 4.15 g cm⁻³.

=====

6.
First-principles (PBE) data for crystalline PrTmZnAg at its relaxed geometry, as listed in Alexandria via LeMat-Bulk.

abc: 5.1769 5.1769 5.1769
angles: 60.00 60.00 60.00
Positions (direct):
Tm  0.0000  0.0000  0.0000
Zn  0.7500  0.7500  0.7500
Pr  0.5000  0.5000  0.5000
Ag  0.2500  0.2500  0.2500

Results
As for the crystal system: cubic. The value obtained for the formation enthalpy at 0 K is -286 meV/atom. The total moment is 0.0 μB/f.u. The calculation puts the density of states at the Fermi level at 2.54 states/eV/f.u. The value obtained for the energy above the most stable polymorph in this dataset is 24 meV per atom. As for the density: 8.18 g cm⁻³.

=====

7.
First-principles (PBE) data for crystalline TiCd2Ge at its relaxed geometry, as listed in Alexandria via LeMat-Bulk.

abc: 7.8632 7.8632 6.1809
angles: 50.50 50.50 90.00
Positions (direct):
Cd  0.1014  0.6250  0.2500
Cd  0.8750  0.8986  0.7500
Cd  0.6486  0.1250  0.2500
Cd  0.3750  0.3514  0.7500
Ge  0.0000  0.0000  0.0000
Ge  0.7500  0.2500  0.5000
Ti  0.5000  0.5000  0.0000
Ti  0.2500  0.7500  0.5000

Results
As for the crystal system: tetragonal. The value obtained for the formation enthalpy at 0 K is 200 meV/atom. The total moment is 0.0 μB/f.u. The calculation puts the density of states at the Fermi level at 1.53 states/eV/f.u. As for the density: 6.87 g cm⁻³.

=====

8.
First-principles (PBE) data for crystalline Sm3YN4 at its relaxed geometry, as listed in Alexandria via LeMat-Bulk.

abc: 5.0390 5.0390 6.1686
angles: 114.11 114.11 90.00
Positions (direct):
N  0.5000  0.0000  0.0000
N  0.7537  0.7537  0.5073
N  0.0000  0.5000  0.0000
N  0.2463  0.2463  0.4927
Y  0.0000  0.0000  0.0000
Sm  0.2500  0.7500  0.5000
Sm  0.7500  0.2500  0.5000
Sm  0.5000  0.5000  0.0000

Results
As for the crystal system: tetragonal. The total moment is 0.0 μB/f.u. Its formation energy without anion corrections is -1526 meV/atom. The calculation puts the density of states at the Fermi level at 0.63 states/eV/f.u. The value obtained for the energy above the most stable polymorph in this dataset is 0 meV per atom. As for the density: 7.74 g cm⁻³.

=====

9.
First-principles (PBE) data for crystalline LiPuIrO6 at its relaxed geometry, as listed in Alexandria via LeMat-Bulk.

abc: 5.2218 5.2218 9.5230
angles: 90.00 90.00 120.00
Positions (direct):
O  0.3420  0.3501  0.8648
O  0.9919  0.6499  0.3648
O  0.6499  0.6580  0.6352
O  0.6580  0.6499  0.1352
O  0.9919  0.3420  0.1352
O  0.0081  0.3501  0.6352
O  0.3501  0.0081  0.1352
O  0.6499  0.9919  0.8648
O  0.3501  0.3420  0.3648
O  0.6580  0.0081  0.3648
O  0.0081  0.6580  0.8648
O  0.3420  0.9919  0.6352
Pu  0.6667  0.3333  0.7500
Pu  0.3333  0.6667  0.2500
Ir  0.3333  0.6667  0.7500
Ir  0.6667  0.3333  0.2500
Li  0.0000  0.0000  0.0000
Li  0.0000  0.0000  0.5000

Results
As for the crystal system: trigonal. The total moment is 0.0 μB/f.u. Its formation energy without anion corrections is -1685 meV/atom. The calculation puts the density of states at the Fermi level at 5.18 states/eV/f.u. As for the density: 7.96 g cm⁻³.

=====

10.
First-principles (PBE) data for crystalline La3TiOs at its relaxed geometry, as listed in Alexandria via LeMat-Bulk.

abc: 5.5563 5.5563 5.5563
angles: 90.00 90.00 90.00
Positions (direct):
La  0.0000  0.0000  0.5000
La  0.0000  0.5000  0.0000
La  0.5000  0.0000  0.0000
Os  0.0000  0.0000  0.0000
Ti  0.5000  0.5000  0.5000

Results
As for the crystal system: cubic. The value obtained for the formation enthalpy at 0 K is 415 meV/atom. The total moment is 0.0 μB/f.u. The calculation puts the density of states at the Fermi level at 12.30 states/eV/f.u. The value obtained for the energy above the most stable polymorph in this dataset is 0 meV per atom. As for the density: 6.34 g cm⁻³.

=====

11.
First-principles (PBE) data for crystalline LaGaIN2 at its relaxed geometry, as listed in Alexandria via LeMat-Bulk.

abc: 4.4561 4.4561 6.8262
angles: 90.00 90.00 90.00
Positions (direct):
I  0.0000  0.0000  0.5000
Ga  0.5000  0.5000  0.5000
La  0.0000  0.0000  0.0000
N  0.5000  0.0000  0.0000
N  0.0000  0.5000  0.0000

Results
As for the crystal system: tetragonal. The total moment is 0.6 μB/f.u. Its formation energy without anion corrections is 492 meV/atom. The calculation puts the density of states at the Fermi level at 2.81 states/eV/f.u. The value obtained for the energy above the most stable polymorph in this dataset is 0 meV per atom. As for the density: 4.45 g cm⁻³.

=====

12.
First-principles (PBE) data for crystalline CaNd2Eu at its relaxed geometry, as listed in Alexandria via LeMat-Bulk.

abc: 3.6521 3.6521 13.3873
angles: 82.16 82.16 60.00
Positions (direct):
Nd  0.0888  0.0888  0.7336
Nd  0.9112  0.9112  0.2664
Ca  0.0000  0.0000  0.0000
Eu  0.5000  0.5000  0.5000

Results
As for the crystal system: trigonal. The value obtained for the formation enthalpy at 0 K is 183 meV/atom. The total moment is 7.7 μB/f.u. The calculation puts the density of states at the Fermi level at 5.62 states/eV/f.u. The value obtained for the energy above the most stable polymorph in this dataset is 86 meV per atom. As for the density: 5.23 g cm⁻³.

=====

13.
First-principles (PBE) data for crystalline TlSb2PdC at its relaxed geometry, as listed in Alexandria via LeMat-Bulk.

abc: 5.6473 5.1147 5.6473
angles: 90.00 90.00 90.00
Positions (direct):
Sb  0.0000  0.0000  0.5000
Sb  0.5000  0.0000  0.0000
Tl  0.0000  0.0000  0.0000
Pd  0.0000  0.5000  0.0000
C  0.5000  0.5000  0.5000

Results
As for the crystal system: tetragonal. The total moment is 1.3 μB/f.u. Its formation energy without anion corrections is 2175 meV/atom. The calculation puts the density of states at the Fermi level at 4.64 states/eV/f.u. As for the density: 5.77 g cm⁻³.

=====

14.
First-principles (PBE) data for crystalline KZn3 at its relaxed geometry, as listed in Alexandria via LeMat-Bulk.

abc: 5.8162 5.8162 5.8162
angles: 90.00 90.00 90.00
Positions (direct):
Zn  0.0000  0.7500  0.5000
Zn  0.2500  0.5000  0.0000
Zn  0.5000  0.0000  0.7500
Zn  0.5000  0.0000  0.2500
Zn  0.0000  0.2500  0.5000
Zn  0.7500  0.5000  0.0000
K  0.0000  0.0000  0.0000
K  0.5000  0.5000  0.5000

Results
As for the crystal system: cubic. The value obtained for the formation enthalpy at 0 K is 313 meV/atom. The total moment is 0.0 μB/f.u. The calculation puts the density of states at the Fermi level at 2.27 states/eV/f.u. The value obtained for the energy above the most stable polymorph in this dataset is 343 meV per atom. As for the density: 3.97 g cm⁻³.

=====

15.
First-principles (PBE) data for crystalline CeMn2Si at its relaxed geometry, as listed in Alexandria via LeMat-Bulk.

abc: 3.9992 5.4802 6.1119
angles: 90.00 90.00 90.00
Positions (direct):
Mn  0.5000  0.7410  0.1238
Mn  0.5000  0.2590  0.1238
Mn  0.0000  0.2410  0.8762
Mn  0.0000  0.7590  0.8762
Si  0.5000  0.0000  0.7982
Si  0.0000  0.5000  0.2018
Ce  0.5000  0.5000  0.6001
Ce  0.0000  0.0000  0.3999

Results
As for the crystal system: orthorhombic. The total moment is 3.6 μB/f.u. Its formation energy without anion corrections is -214 meV/atom. The calculation puts the density of states at the Fermi level at 6.04 states/eV/f.u. As for the density: 6.89 g cm⁻³.

=====

16.
First-principles (PBE) data for crystalline AsSNF2 at its relaxed geometry, as listed in Alexandria via LeMat-Bulk.

abc: 3.9629 3.9629 4.2731
angles: 90.00 90.00 90.00
Positions (direct):
N  0.0000  0.0000  0.5000
F  0.5000  0.0000  0.0000
F  0.0000  0.5000  0.0000
S  0.5000  0.5000  0.5000
As  0.0000  0.0000  0.0000

Results
As for the crystal system: tetragonal. The total moment is 0.6 μB/f.u. Its formation energy without anion corrections is 199 meV/atom. The calculation puts the density of states at the Fermi level at 4.09 states/eV/f.u. The value obtained for the energy above the most stable polymorph in this dataset is 0 meV per atom. As for the density: 3.93 g cm⁻³.

=====

17.
First-principles (PBE) data for crystalline MgGa2CuHg at its relaxed geometry, as listed in Alexandria via LeMat-Bulk.

abc: 4.6535 4.6535 5.0500
angles: 90.00 90.00 90.00
Positions (direct):
Ga  0.5000  0.0000  0.0000
Ga  0.0000  0.5000  0.0000
Cu  0.0000  0.0000  0.0000
Hg  0.5000  0.5000  0.5000
Mg  0.0000  0.0000  0.5000

Results
As for the crystal system: tetragonal. The value obtained for the formation enthalpy at 0 K is 49 meV/atom. The total moment is 0.0 μB/f.u. The calculation puts the density of states at the Fermi level at 1.70 states/eV/f.u. As for the density: 6.50 g cm⁻³.

=====

18.
First-principles (PBE) data for crystalline Cs2BaIr at its relaxed geometry, as listed in Alexandria via LeMat-Bulk.

abc: 9.1628 9.1628 9.1557
angles: 59.97 59.97 90.00
Positions (direct):
Ir  0.0000  0.0000  0.0000
Ir  0.7500  0.2500  0.5000
Cs  0.8715  0.1250  0.2500
Cs  0.8785  0.6250  0.2500
Cs  0.8750  0.1215  0.7500
Cs  0.3750  0.1285  0.7500
Ba  0.5000  0.5000  0.0000
Ba  0.2500  0.7500  0.5000

Results
As for the crystal system: tetragonal. The value obtained for the formation enthalpy at 0 K is 1022 meV/atom. The total moment is 0.0 μB/f.u. The calculation puts the density of states at the Fermi level at 2.81 states/eV/f.u. The value obtained for the energy above the most stable polymorph in this dataset is 191 meV per atom. As for the density: 3.64 g cm⁻³.

=====

19.
First-principles (PBE) data for crystalline BaZn3Pt at its relaxed geometry, as listed in Alexandria via LeMat-Bulk.

abc: 4.9183 4.9183 13.6503
angles: 79.62 79.62 90.00
Positions (direct):
Zn  0.6624  0.9207  0.1585
Zn  0.0793  0.8209  0.8415
Zn  0.1791  0.9207  0.1585
Zn  0.0793  0.3376  0.8415
Zn  0.2493  0.2493  0.5013
Zn  0.7507  0.7507  0.4987
Ba  0.6601  0.1601  0.6797
Ba  0.8399  0.3399  0.3203
Pt  0.0000  0.0000  0.0000
Pt  0.2500  0.7500  0.5000

Results
As for the crystal system: tetragonal. The value obtained for the formation enthalpy at 0 K is 57 meV/atom. The total moment is 0.0 μB/f.u. The calculation puts the density of states at the Fermi level at 4.01 states/eV/f.u. The value obtained for the energy above the most stable polymorph in this dataset is 516 meV per atom. As for the density: 5.50 g cm⁻³.

=====

20.
First-principles (PBE) data for crystalline Ba2Tl3Cd4Bi at its relaxed geometry, as listed in Alexandria via LeMat-Bulk.

abc: 5.0787 5.0787 12.4231
angles: 90.00 90.00 90.00
Positions (direct):
Bi  0.5000  0.5000  0.5000
Ba  0.0000  0.5000  0.7546
Ba  0.5000  0.0000  0.2454
Cd  0.0000  0.0000  0.0000
Cd  0.0000  0.5000  0.3597
Cd  0.5000  0.0000  0.6403
Cd  0.5000  0.5000  0.0000
Tl  0.0000  0.0000  0.5000
Tl  0.0000  0.5000  0.1286
Tl  0.5000  0.0000  0.8714

Results
As for the crystal system: tetragonal. The value obtained for the formation enthalpy at 0 K is -299 meV/atom. The total moment is 0.0 μB/f.u. The calculation puts the density of states at the Fermi level at 3.80 states/eV/f.u. As for the density: 8.01 g cm⁻³.